Record 1
DFT (PBE-GGA) results for a relaxed Ba2Li3Cd12Ag crystal.

The space group is R-3m (No. 166, hexagonal axes) and the conventional cell measures 9.2599, 9.2599 and 23.1231 Å, with angles of 90.00, 90.00 and 120.00 degrees. Symmetry generates all atoms from Ba at (0.0000, 0.0000, 0.0961), Li at (0.0000, 0.5000, 0.0000), Cd at (0.0103, 0.5051, 0.1296), Cd at (0.1054, 0.5527, 0.3942) and Ag at (0.0000, 0.0000, 0.5000).

For the total energy, the calculation gives -1.2601 eV per atom. The formation energy from the elements is 0.041 eV/atom.

---

Record 2
DFT (PBE-GGA) results for a relaxed BaLi2Cd4Ag crystal.

The space group is R-3m (No. 166, hexagonal axes) and the conventional cell measures 4.7307, 4.7307 and 31.2808 Å, with angles of 90.00, 90.00 and 120.00 degrees. Symmetry generates all atoms from Ba at (0.0000, 0.0000, 0.0000), Li at (0.0000, 0.0000, 0.2267), Cd at (0.0000, 0.0000, 0.1315), Cd at (0.0000, 0.0000, 0.4082) and Ag at (0.0000, 0.0000, 0.5000).

For the total energy, the calculation gives -1.7396 eV per atom. The formation energy from the elements is -0.207 eV/atom.

---

Record 3
DFT (PBE-GGA) results for a relaxed BaLiCd2Ag crystal.

The space group is P4/mmm (No. 123) and the conventional cell measures 5.407, 5.407 and 5.087 Å, with angles of 90.00, 90.00 and 90.00 degrees. Symmetry generates all atoms from Ba at (0.000, 0.000, 0.000), Li at (0.500, 0.500, 0.000), Cd at (0.000, 0.500, 0.500) and Ag at (0.500, 0.500, 0.500).

For the total energy, the calculation gives -1.8262 eV per atom. The formation energy from the elements is -0.123 eV/atom. The offset from the most stable computed form is 0.616 eV per formula unit.

---

Record 4
DFT (PBE-GGA) results for a relaxed BaLiCd2Ag crystal.

The space group is Imm2 (No. 44) and the conventional cell measures 4.436, 4.772 and 13.042 Å, with angles of 90.00, 90.00 and 90.00 degrees. Symmetry generates all atoms from Ba at (0.000, 0.000, 0.000), Li at (0.000, 0.500, 0.758), Cd at (0.000, 0.000, 0.619), Cd at (0.000, 0.500, 0.266) and Ag at (0.000, 0.000, 0.393).

For the total energy, the calculation gives -1.9493 eV per atom. The formation energy from the elements is -0.246 eV/atom. The offset from the most stable computed form is 0.000 eV per formula unit.

---

Record 5
DFT (PBE-GGA) results for a relaxed Ba2LiCd3Ag4 crystal.

The space group is P-4m2 (No. 115) and the conventional cell measures 4.975, 4.975 and 11.006 Å, with angles of 90.00, 90.00 and 90.00 degrees. Symmetry generates all atoms from Ba at (0.000, 0.500, 0.244), Li at (0.000, 0.000, 0.500), Cd at (0.000, 0.500, 0.873), Cd at (0.500, 0.500, 0.500), Ag at (0.000, 0.000, 0.000), Ag at (0.000, 0.500, 0.620) and Ag at (0.500, 0.500, 0.000).

For the total energy, the calculation gives -2.2198 eV per atom. The formation energy from the elements is -0.229 eV/atom.

---

Record 6
DFT (PBE-GGA) results for a relaxed Ba2Li3CdAg12 crystal.

The space group is R-3m (No. 166, hexagonal axes) and the conventional cell measures 6.9263, 6.9263 and 30.4497 Å, with angles of 90.00, 90.00 and 120.00 degrees. Symmetry generates all atoms from Ba at (0.0000, 0.0000, 0.1456), Li at (0.0000, 0.5000, 0.0000), Cd at (0.0000, 0.0000, 0.5000), Ag at (0.0487, 0.5243, 0.0928) and Ag at (0.0654, 0.5327, 0.6240).

For the total energy, the calculation gives -2.4927 eV per atom. The formation energy from the elements is -0.008 eV/atom.

---

Record 7
DFT (PBE-GGA) results for a relaxed BaLiCdAg3 crystal.

The space group is Cmcm (No. 63) and the conventional cell measures 6.517, 13.650 and 6.535 Å, with angles of 90.00, 90.00 and 90.00 degrees. Symmetry generates all atoms from Ba at (0.000, 0.209, 0.250), Li at (0.000, 0.438, 0.250), Cd at (0.000, 0.142, 0.750), Ag at (0.000, 0.363, 0.750) and Ag at (0.224, 0.000, 0.000).

For the total energy, the calculation gives -2.3635 eV per atom. The formation energy from the elements is -0.146 eV/atom.

---

Record 8
DFT (PBE-GGA) results for a relaxed BaLiCdAg2 crystal.

The space group is I-4m2 (No. 119) and the conventional cell measures 4.506, 4.506 and 12.953 Å, with angles of 90.00, 90.00 and 90.00 degrees. Symmetry generates all atoms from Ba at (0.000, 0.000, 0.000), Li at (0.000, 0.500, 0.250), Cd at (0.000, 0.500, 0.750) and Ag at (0.000, 0.000, 0.388).

For the total energy, the calculation gives -2.3342 eV per atom. The formation energy from the elements is -0.243 eV/atom. The offset from the most stable computed form is 0.000 eV per formula unit.

---

Record 9
DFT (PBE-GGA) results for a relaxed BaLiCd2Ag crystal.

The space group is P4/mmm (No. 123) and the conventional cell measures 5.189, 5.189 and 5.108 Å, with angles of 90.00, 90.00 and 90.00 degrees. Symmetry generates all atoms from Ba at (0.000, 0.000, 0.000), Li at (0.500, 0.500, 0.500), Cd at (0.000, 0.500, 0.500) and Ag at (0.500, 0.500, 0.000).

For the total energy, the calculation gives -1.8381 eV per atom. The formation energy from the elements is -0.134 eV/atom. The offset from the most stable computed form is 0.556 eV per formula unit.

---

Record 10
DFT (PBE-GGA) results for a relaxed Ba2LiCdAg crystal.

The space group is P4/mmm (No. 123) and the conventional cell measures 6.422, 6.422 and 4.948 Å, with angles of 90.00, 90.00 and 90.00 degrees. Symmetry generates all atoms from Ba at (0.000, 0.500, 0.000), Li at (0.000, 0.000, 0.500), Cd at (0.500, 0.500, 0.500) and Ag at (0.000, 0.000, 0.000).

For the total energy, the calculation gives -1.9826 eV per atom. The formation energy from the elements is -0.077 eV/atom.

---

Record 11
DFT (PBE-GGA) results for a relaxed BaLiCdAg2 crystal.

The space group is P4/mmm (No. 123) and the conventional cell measures 5.107, 5.107 and 5.086 Å, with angles of 90.00, 90.00 and 90.00 degrees. Symmetry generates all atoms from Ba at (0.000, 0.000, 0.000), Li at (0.500, 0.500, 0.500), Cd at (0.500, 0.500, 0.000) and Ag at (0.000, 0.500, 0.500).

For the total energy, the calculation gives -2.1968 eV per atom. The formation energy from the elements is -0.106 eV/atom. The offset from the most stable computed form is 0.687 eV per formula unit.

---

Record 12
DFT (PBE-GGA) results for a relaxed Ba2Li12Cd3Ag crystal.

The space group is R-3m (No. 166, hexagonal axes) and the conventional cell measures 7.1517, 7.1517 and 31.0989 Å, with angles of 90.00, 90.00 and 120.00 degrees. Symmetry generates all atoms from Ba at (0.0000, 0.0000, 0.1535), Li at (0.0630, 0.5315, 0.0930), Li at (0.0735, 0.5367, 0.6216), Cd at (0.0000, 0.5000, 0.0000) and Ag at (0.0000, 0.0000, 0.5000).

For the total energy, the calculation gives -1.7751 eV per atom. The formation energy from the elements is 0.025 eV/atom.